No. 1
A plane-wave DFT calculation with PBE was carried out for an optimized crystal structure of PmMg2Ga2Ir.

a b c (Å): 6.528 6.528 6.528
angles (deg): 134.30 134.30 66.62
Positions (direct):
Pm1 0.000 0.000 0.000
Mg1 0.250 0.750 0.500
Mg2 0.750 0.250 0.500
Ga1 0.284 0.284 0.000
Ga2 0.716 0.716 0.000
Ir1 0.500 0.500 0.000

Calculated values
Total moment in μB per cell: 0.0
Formation energy from the elements in eV/atom: 0.1162
Crystal system: tetragonal

No. 2
A plane-wave DFT calculation with PBE was carried out for an optimized crystal structure of Na3Tl6Sn2.

a b c (Å): 5.987 9.965 11.168
angles (deg): 90.00 90.00 90.00
Positions (direct):
Na1 0.000 0.000 0.000
Na2 0.000 0.500 0.308
Na3 0.000 0.500 0.692
Na4 0.500 0.000 0.192
Na5 0.500 0.000 0.808
Na6 0.500 0.500 0.500
Tl1 0.015 0.168 0.240
Tl2 0.015 0.168 0.760
Tl3 0.224 0.397 0.000
Tl4 0.276 0.897 0.500
Tl5 0.485 0.668 0.260
Tl6 0.485 0.668 0.740
Tl7 0.515 0.332 0.260
Tl8 0.515 0.332 0.740
Tl9 0.724 0.103 0.500
Tl10 0.776 0.603 0.000
Tl11 0.985 0.832 0.240
Tl12 0.985 0.832 0.760
Sn1 0.220 0.232 0.500
Sn2 0.280 0.732 0.000
Sn3 0.720 0.268 0.000
Sn4 0.780 0.768 0.500

Calculated values
Total moment in μB per cell: 0.0
Formation energy from the elements in eV/atom: -0.0322
Crystal system: orthorhombic